No. 1
MgSnSe | Alexandria via LeMat-Bulk | GGA-PBE | optimized geometry; energy relative to the elements, uncorrected = -690 meV per atom; ρ = 4.0 g cm⁻³
1.0
3.9345 -0.2969 2.0599
1.7084 3.5567 2.0599
4.4428 2.5665 15.9358
Sn Mg Se
2 2 2
Cartesian
5.6724 3.2769 6.7878 Sn
2.4071 1.3906 3.1341 Sn
8.1870 4.7295 16.6217 Mg
5.9535 3.4393 11.0746 Mg
4.3934 2.5380 9.1171 Se
4.7618 2.7508 13.2587 Se

---

No. 2
Pm5Pd4O | Alexandria via LeMat-Bulk | GGA-PBE | optimized geometry; energy relative to the elements, uncorrected = -1058 meV per atom; ρ = 8.4 g cm⁻³
1.0
-3.4359 -4.3523 -0.0641
1.9918 -5.1687 4.3063
-5.1575 0.4690 4.7337
Pm Pd O
5 4 1
Cartesian
-4.2521 -3.7321 2.2583 Pm
0.1811 -3.7141 3.2816 Pm
-6.7729 -5.3256 5.6945 Pm
-2.3397 -5.3076 6.7177 Pm
-1.6395 -2.0768 -0.0306 Pm
-2.2029 -5.3820 3.8089 Pd
-4.3979 -3.6692 5.1670 Pd
-2.1055 -1.9160 3.1280 Pd
-4.4953 -7.1351 5.8479 Pd
-0.1347 -0.1706 -0.0025 O

---

No. 3
TlAgP | Alexandria via LeMat-Bulk | GGA-PBE | optimized geometry; formation energy from the elements = 0.160 eV/atom; ρ = 6.8 g cm⁻³; energy relative to the lowest polymorph listed for this composition = 42 meV per atom
1.0
4.6405 0.0000 0.0000
0.0000 4.7622 0.0000
0.0000 0.0000 15.0998
Tl P Ag
4 4 4
Cartesian
3.4804 1.1612 1.0072 Tl
3.4804 1.1612 6.5427 Tl
1.1601 3.6011 8.5571 Tl
1.1601 3.6011 14.0926 Tl
1.1601 1.2801 10.2410 P
3.4804 3.4821 4.8587 P
1.1601 1.2801 12.4086 P
3.4804 3.4821 2.6911 P
1.1601 3.7674 5.5320 Ag
3.4804 0.9949 9.5677 Ag
1.1601 3.7674 2.0179 Ag
3.4804 0.9949 13.0819 Ag

---

No. 4
BaLaMg2 | Alexandria via LeMat-Bulk | GGA-PBE | optimized geometry; formation energy from the elements = 0.097 eV/atom; ρ = 3.9 g cm⁻³
1.0
3.5910 0.0000 0.0000
0.0000 5.2685 0.0000
0.0000 0.0000 7.3658
Mg La Ba
2 1 1
Cartesian
1.7955 2.6343 1.7624 Mg
0.0000 0.0000 7.3215 Mg
1.7955 2.6343 5.8489 La
0.0000 0.0000 3.4816 Ba

---

No. 5
LiLaCl | Alexandria via LeMat-Bulk | GGA-PBE | optimized geometry; energy relative to the elements, uncorrected = -341 meV per atom; ρ = 3.3 g cm⁻³; energy relative to the lowest polymorph listed for this composition = 593 meV per atom
1.0
5.0532 0.0000 0.0000
2.5266 4.3762 0.0000
2.5266 1.4587 4.1259
Cl Li La
1 1 1
Cartesian
5.0532 2.9175 2.0630 Cl
0.0000 0.0000 0.0000 Li
7.5798 4.3762 3.0944 La

---

No. 6
Na2As2PbO7 | Alexandria via LeMat-Bulk | GGA-PBE | optimized geometry; energy relative to the elements, uncorrected = -1410 meV per atom; ρ = 3.8 g cm⁻³
1.0
5.8045 0.0000 0.0000
2.9023 5.0269 0.0000
2.9023 1.6756 7.6444
As O Na Pb
2 7 2 1
Cartesian
2.9023 1.6756 5.8610 As
8.7068 5.0269 1.7834 As
7.7940 3.0491 5.4315 O
5.0715 5.2252 5.4315 O
4.5482 4.9231 2.2129 O
5.0715 1.4773 2.2129 O
0.0000 0.0000 0.0000 O
7.7940 3.6534 2.2129 O
4.5481 1.7794 5.4315 O
8.7068 5.0269 6.0603 Na
2.9023 1.6756 1.5840 Na
5.8045 3.3513 3.8222 Pb

---

No. 7
CrBi2Ir | Alexandria via LeMat-Bulk | GGA-PBE | optimized geometry; formation energy from the elements = 1.037 eV/atom; ρ = 12.2 g cm⁻³; energy relative to the lowest polymorph listed for this composition = 321 meV per atom
1.0
-6.8171 -1.0065 2.9863
-2.8841 -0.8753 -6.8789
-4.3108 -4.0825 -1.7729
Ir Bi Cr
2 4 2
Cartesian
-7.9893 -3.0149 -0.3664 Ir
0.0000 0.0000 0.0000 Ir
-3.6776 -1.6854 -4.3933 Bi
-11.7449 -4.7154 -4.7910 Bi
-6.8479 -3.7605 -2.7340 Bi
-5.7538 -1.7672 0.5874 Bi
-4.8506 -0.9409 -1.9463 Cr
-6.0228 -2.9493 -5.2990 Cr

---

No. 8
CaMnTc2 | Alexandria via LeMat-Bulk | GGA-PBE | optimized geometry; formation energy from the elements = 0.711 eV/atom; ρ = 7.2 g cm⁻³; energy relative to the lowest polymorph listed for this composition = 386 meV per atom
1.0
5.2954 -0.0117 0.0000
2.5091 4.6632 0.0000
-3.9022 -2.3257 2.7211
Tc Ca Mn
2 1 1
Cartesian
0.0000 0.0000 0.0000 Tc
3.9022 2.3257 0.0000 Tc
1.2546 2.3316 1.3606 Ca
2.6477 -0.0059 1.3606 Mn

---

No. 9
Ac6Ir2SBr3 | Alexandria via LeMat-Bulk | GGA-PBE | optimized geometry; energy relative to the elements, uncorrected = -1316 meV per atom; ρ = 8.1 g cm⁻³
1.0
-5.5412 5.2189 0.9615
0.2898 -4.1479 -6.4480
-2.9946 -6.0218 5.2558
Ac Br Ir S
6 3 2 1
Cartesian
-7.4124 -2.3841 1.3556 Ac
-4.3433 -0.4150 -2.8933 Ac
-2.8760 0.7141 1.0090 Ac
-5.3701 -5.6650 -1.2396 Ac
-3.9027 -4.5358 2.6627 Ac
-0.8336 -2.5667 -1.5863 Ac
-6.0782 0.6653 2.3691 Br
-2.1679 -5.6161 -2.5998 Br
-4.1230 -2.4754 -0.1153 Br
-3.5982 2.0977 -1.5074 Ir
-1.6532 -1.0268 -3.9791 Ir
0.0000 0.0000 0.0000 S

---

No. 10
La2Ga4NiPd3 | Alexandria via LeMat-Bulk | GGA-PBE | optimized geometry; formation energy from the elements = -0.752 eV/atom; ρ = 7.9 g cm⁻³
1.0
-1.5248 -4.0915 0.8780
2.2055 0.0084 3.8693
-7.8883 3.9027 4.4879
Ni La Pd Ga
1 2 3 4
Cartesian
-3.6037 -0.0902 4.6176 Ni
-4.7675 2.9085 5.2744 La
-2.7804 -1.0473 1.5871 La
-7.6178 1.3459 4.3392 Pd
0.0699 0.5152 2.5223 Pd
-3.9441 1.9514 2.2440 Pd
0.0000 0.0000 0.0000 Ga
-1.9418 1.5105 3.6668 Ga
-5.6060 0.3506 3.1947 Ga
0.3404 -2.0416 2.3737 Ga

---

No. 11
Pm5ThBi4 | Alexandria via LeMat-Bulk | GGA-PBE | optimized geometry; formation energy from the elements = -0.633 eV/atom; ρ = 8.9 g cm⁻³
1.0
6.5238 0.0000 0.0000
3.2619 7.1754 0.0000
3.2619 0.0000 7.1754
Bi Th Pm
4 1 5
Cartesian
2.9333 1.3063 2.7474 Bi
6.1952 2.7474 5.8691 Bi
9.4571 5.8691 4.4280 Bi
6.1952 4.4280 1.3063 Bi
1.4534 0.0000 0.0000 Th
4.4961 0.0000 0.0000 Pm
9.4592 2.9711 5.6352 Pm
6.1973 5.6352 4.2043 Pm
2.9354 4.2043 1.5402 Pm
6.1973 1.5402 2.9711 Pm

---

No. 12
Cd3In2SnHg6 | Alexandria via LeMat-Bulk | GGA-PBE | optimized geometry; formation energy from the elements = 0.033 eV/atom; ρ = 10.0 g cm⁻³
1.0
-3.9475 6.1531 3.3740
1.1293 -7.7453 1.8873
7.4262 2.6937 0.1774
Hg Cd In Sn
6 3 2 1
Cartesian
2.0306 -2.0430 1.1158 Hg
-0.1799 -0.5011 4.0702 Hg
0.3297 2.6132 1.6138 Hg
2.5775 3.1445 4.3229 Hg
4.2784 -1.5117 3.8249 Hg
4.7879 1.6026 1.3685 Hg
0.6295 5.1350 3.2097 Cd
3.9786 -4.0335 2.2290 Cd
2.3040 0.5508 2.7194 Cd
-0.5820 -3.0602 2.3885 In
-2.2361 1.4680 2.8728 In
0.0000 0.0000 0.0000 Sn

---

No. 13
Pb3C2 | Alexandria via LeMat-Bulk | GGA-PBE | optimized geometry; formation energy from the elements = 1.340 eV/atom; ρ = 10.4 g cm⁻³; energy relative to the lowest polymorph listed for this composition = 0 meV per atom
1.0
1.8322 -3.1734 0.0000
1.8322 3.1734 0.0000
0.0000 0.0000 8.8633
Pb C
3 2
Cartesian
1.8322 1.0578 2.8567 Pb
1.8322 -1.0578 6.0066 Pb
0.0000 0.0000 0.0000 Pb
1.8322 1.0578 7.2598 C
1.8322 -1.0578 1.6035 C

---

No. 14
NaPm2Sn4Pt3 | Alexandria via LeMat-Bulk | GGA-PBE | optimized geometry; formation energy from the elements = -0.672 eV/atom; ρ = 9.8 g cm⁻³
1.0
4.4698 0.0000 0.0000
0.0000 4.4698 0.0000
0.0000 0.0000 11.6209
Sn Pm Na Pt
4 2 1 3
Cartesian
2.2349 2.2349 0.0000 Sn
0.0000 0.0000 0.0000 Sn
0.0000 2.2349 4.1450 Sn
2.2349 0.0000 7.4760 Sn
0.0000 2.2349 8.7674 Pm
2.2349 0.0000 2.8535 Pm
2.2349 2.2349 5.8105 Na
2.2349 0.0000 10.0915 Pt
0.0000 0.0000 5.8105 Pt
0.0000 2.2349 1.5294 Pt

---

No. 15
Li2Ho2MgPd5 | Alexandria via LeMat-Bulk | GGA-PBE | optimized geometry; formation energy from the elements = -0.692 eV/atom; ρ = 8.9 g cm⁻³
1.0
-2.9755 1.2731 1.6316
-3.2145 -9.0164 1.1729
4.4710 -0.4842 8.5311
Pd Li Ho Mg
10 4 4 2
Cartesian
-3.5584 -7.8699 3.6767 Pd
-0.1509 -4.8243 7.5146 Pd
-1.8281 -5.9489 5.3334 Pd
-3.0950 -3.8716 1.4023 Pd
-1.5682 -3.4032 3.8211 Pd
0.7477 0.3944 5.0814 Pd
0.1091 -2.2786 6.0023 Pd
-1.8511 -1.2641 1.6362 Pd
1.8394 -0.3576 7.6589 Pd
0.1320 -6.9633 9.6994 Pd
1.9324 -6.0263 8.2259 Li
-0.6759 -3.4742 1.4781 Li
2.3877 -1.3934 5.4415 Li
-1.1313 -8.1072 4.2625 Li
2.6409 -3.3076 7.3967 Ho
0.8726 -1.7552 2.9607 Ho
-1.3844 -6.1930 2.3074 Ho
0.3839 -7.7454 6.7434 Ho
0.0000 0.0000 0.0000 Mg
0.6282 -4.7503 4.8520 Mg

---

No. 16
Hf2UWC4 | Alexandria via LeMat-Bulk | GGA-PBE | optimized geometry; formation energy from the elements = -0.287 eV/atom; ρ = 12.5 g cm⁻³
1.0
-0.4747 2.9113 -1.4280
-2.0402 -4.0988 -3.9175
-10.5252 0.6425 4.8091
Hf W C U
4 2 8 2
Cartesian
-5.7199 1.0661 0.3145 Hf
-11.8370 -1.3353 1.2129 Hf
-7.3202 -1.6110 -0.8508 Hf
-1.2032 0.7904 -1.7493 Hf
-3.3081 -0.6248 -0.1740 W
-9.7321 0.0798 -0.3624 W
-3.0465 1.4099 0.1267 C
-10.5870 0.7580 1.3044 C
0.0000 0.0000 0.0000 C
-7.8523 0.5911 0.0549 C
-5.1879 -1.1360 -0.5913 C
-9.9937 -1.9549 -0.6631 C
-2.4532 -1.3030 -1.8408 C
-5.2626 0.3213 2.4046 C
-4.6096 -0.4040 -3.0519 U
-8.4306 -0.1409 2.5155 U

---

No. 17
AcRuI2 | Alexandria via LeMat-Bulk | GGA-PBE | optimized geometry; energy relative to the elements, uncorrected = 187 meV per atom; ρ = 6.8 g cm⁻³
1.0
-2.8973 2.4605 -1.2774
-0.8913 0.1908 -3.9051
-8.1261 -6.5739 -0.5255
I Ac Ru
2 1 1
Cartesian
-6.3554 -4.6498 -0.8356 I
-5.5593 0.7273 -4.8724 I
-5.9573 -1.9613 -2.8540 Ac
0.0000 0.0000 0.0000 Ru

---

No. 18
Cs2ZnAg2 | Alexandria via LeMat-Bulk | GGA-PBE | optimized geometry; formation energy from the elements = 0.134 eV/atom; ρ = 4.4 g cm⁻³; energy relative to the lowest polymorph listed for this composition = 137 meV per atom
1.0
7.1960 0.0000 0.0000
0.0000 7.1960 0.0000
3.5980 3.5980 4.0191
Ag Zn Cs
2 1 2
Cartesian
3.5980 3.5980 1.3799 Ag
7.1960 7.1960 2.6393 Ag
0.0000 0.0000 0.0000 Zn
7.1960 3.5980 2.0096 Cs
3.5980 7.1960 2.0096 Cs

---

No. 19
Tb2PrRh3 | Alexandria via LeMat-Bulk | GGA-PBE | optimized geometry; formation energy from the elements = -0.751 eV/atom; ρ = 10.0 g cm⁻³
1.0
-3.9594 1.8148 -2.2959
-0.5533 -2.9186 3.9264
0.1224 4.8456 3.6191
Tb Rh Pr
2 3 1
Cartesian
-1.6075 1.8741 4.2535 Tb
-2.7828 1.8676 0.9961 Tb
0.0612 2.4228 1.8096 Rh
-1.6668 -0.4769 2.4975 Rh
-2.7234 4.2187 2.7521 Rh
0.0000 0.0000 0.0000 Pr

---

No. 20
Li2CdP | Alexandria via LeMat-Bulk | GGA-PBE | optimized geometry; formation energy from the elements = -0.281 eV/atom; ρ = 4.0 g cm⁻³
1.0
4.9272 0.0083 -0.0051
1.6113 4.6563 0.0051
-3.2660 -2.3369 2.8548
Cd Li P
1 2 1
Cartesian
0.8073 2.3259 1.4299 Cd
2.4653 0.0019 1.4249 Li
0.0008 0.0005 0.0000 Li
3.2683 2.3316 0.0000 P

---

no.,magnetic moment (μB/atom)
1,0.0000
2,0.0000
3,0.0000
4,0.0000
5,0.1502
6,0.0000
7,0.1046
8,0.7339
9,0.0000
10,0.0000
11,0.0000
12,0.0000
13,0.0000
14,0.0000
15,0.0000
16,0.1765
17,0.6204
18,0.0000
19,0.0000
20,0.0000